Here is a relaxed structure of Sr6In2Ir from the Alexandria database. Energies are from PBE.

Cell: 7.3265 9.2293 13.0014 Å, 90.00 123.33 90.00°
Fractional positions:
Sr1 0.1086 0.1547 0.4450
Sr2 0.1086 0.3453 0.9450
Sr3 0.3026 0.7042 0.4404
Sr4 0.3026 0.7958 0.9404
Sr5 0.3560 0.0331 0.2444
Sr6 0.3560 0.4669 0.7444
Sr7 0.6440 0.5331 0.2556
Sr8 0.6440 0.9669 0.7556
Sr9 0.6974 0.2042 0.0596
Sr10 0.6974 0.2958 0.5596
Sr11 0.8914 0.6547 0.0550
Sr12 0.8914 0.8453 0.5550
In1 0.2024 0.1146 0.7615
In2 0.2024 0.3854 0.2615
In3 0.7976 0.6146 0.7385
In4 0.7976 0.8854 0.2385
Ir1 0.5000 0.0000 0.5000
Ir2 0.5000 0.5000 0.0000

Properties
Final energy = -2.967 eV/atom
Space-group type = P2_1/c
Total magnetization = 0.0 μB/cell
Formation energy = -253 meV per atom

Here is a relaxed structure of SrIn2Ir2 from the Alexandria database. Energies are from PBE.

Cell: 8.0938 8.0938 3.1177 Å, 90.00 90.00 90.00°
Fractional positions:
Sr1 0.0000 0.0000 0.0000
Sr2 0.5000 0.5000 0.0000
In1 0.1442 0.3558 0.5000
In2 0.3558 0.8558 0.5000
In3 0.6442 0.1442 0.5000
In4 0.8558 0.6442 0.5000
Ir1 0.1502 0.6502 0.0000
Ir2 0.3498 0.1502 0.0000
Ir3 0.6502 0.8498 0.0000
Ir4 0.8498 0.3498 0.0000

Properties
Final energy = -5.165 eV/atom
Space-group type = P4/mbm
Total magnetization = 0.0 μB/cell
Formation energy = -189 meV per atom

Here is a relaxed structure of Sr2InIr from the Alexandria database. Energies are from PBE.

Cell: 3.7487 3.7487 8.0743 Å, 90.00 90.00 90.00°
Fractional positions:
Sr1 0.0000 0.0000 0.2100
Sr2 0.0000 0.0000 0.7900
In1 0.5000 0.5000 0.5000
Ir1 0.5000 0.5000 0.0000

Properties
Final energy = -3.875 eV/atom
Space-group type = P4/mmm
Total magnetization = 0.2 μB/cell
Formation energy = -134 meV per atom

Here is a relaxed structure of SrInIr2 from the Alexandria database. Energies are from PBE.

Cell: 3.3812 3.3812 7.0785 Å, 90.00 90.00 90.00°
Fractional positions:
Sr1 0.0000 0.0000 0.0000
In1 0.0000 0.0000 0.5000
Ir1 0.5000 0.5000 0.2931
Ir2 0.5000 0.5000 0.7069

Properties
Final energy = -5.453 eV/atom
Space-group type = P4/mmm
Total magnetization = 0.0 μB/cell
Formation energy = 83 meV per atom

Here is a relaxed structure of SrIn2Ir from the Alexandria database. Energies are from PBE.

Cell: 3.4225 3.4225 8.0553 Å, 90.00 90.00 90.00°
Fractional positions:
Sr1 0.0000 0.0000 0.0000
In1 0.5000 0.5000 0.3081
In2 0.5000 0.5000 0.6919
Ir1 0.0000 0.0000 0.5000

Properties
Final energy = -4.169 eV/atom
Space-group type = P4/mmm
Total magnetization = 0.2 μB/cell
Formation energy = -164 meV per atom

Here is a relaxed structure of SrInIr2 from the Alexandria database. Energies are from PBE.

Cell: 3.0143 4.5718 6.1826 Å, 90.00 102.07 90.00°
Fractional positions:
Sr1 0.0000 0.0000 0.0000
In1 0.5000 0.0000 0.5000
Ir1 0.3173 0.5000 0.6918
Ir2 0.6827 0.5000 0.3082

Properties
Final energy = -5.327 eV/atom
Space-group type = P2/m
Total magnetization = 0.0 μB/cell
Formation energy = 209 meV per atom

Here is a relaxed structure of SrIn8Ir4 from the Alexandria database. Energies are from PBE.

Cell: 7.3757 7.3757 7.3757 Å, 99.05 99.05 133.28°
Fractional positions:
Sr1 0.0000 0.0000 0.0000
In1 0.0000 0.3378 0.3378
In2 0.0000 0.6622 0.6622
In3 0.2776 0.5000 0.7776
In4 0.3378 0.0000 0.3378
In5 0.5000 0.2776 0.7776
In6 0.5000 0.7224 0.2224
In7 0.6622 0.0000 0.6622
In8 0.7224 0.5000 0.2224
Ir1 0.0000 0.0000 0.5000
Ir2 0.0000 0.5000 0.0000
Ir3 0.5000 0.0000 0.0000
Ir4 0.5000 0.5000 0.5000

Properties
Final energy = -4.710 eV/atom
Space-group type = I4/mmm
Total magnetization = 0.0 μB/cell
Formation energy = -169 meV per atom

Here is a relaxed structure of SrInIr2 from the Alexandria database. Energies are from PBE.

Cell: 9.1970 9.1970 9.1970 Å, 20.07 20.07 20.07°
Fractional positions:
Sr1 0.0000 0.0000 0.0000
In1 0.5000 0.5000 0.5000
Ir1 0.2427 0.2427 0.2427
Ir2 0.7573 0.7573 0.7573

Properties
Final energy = -5.150 eV/atom
Space-group type = R-3m
Total magnetization = 0.0 μB/cell
Formation energy = 386 meV per atom

Here is a relaxed structure of SrIn2Ir from the Alexandria database. Energies are from PBE.

Cell: 5.6972 5.6972 3.2564 Å, 90.00 90.00 116.75°
Fractional positions:
Sr1 0.0000 0.0000 0.0000
In1 0.0000 0.5000 0.5000
In2 0.5000 0.0000 0.5000
Ir1 0.5000 0.5000 0.0000

Properties
Final energy = -3.769 eV/atom
Space-group type = Cmmm
Total magnetization = 0.0 μB/cell
Formation energy = 235 meV per atom

Here is a relaxed structure of SrIn2Ir2 from the Alexandria database. Energies are from PBE.

Cell: 6.4334 6.4334 6.4334 Å, 138.66 138.66 59.89°
Fractional positions:
Sr1 0.0000 0.0000 0.0000
In1 0.2500 0.7500 0.5000
In2 0.7500 0.2500 0.5000
Ir1 0.3904 0.3904 0.0000
Ir2 0.6096 0.6096 0.0000

Properties
Final energy = -5.294 eV/atom
Space-group type = I4/mmm
Total magnetization = 0.0 μB/cell
Formation energy = -318 meV per atom

Here is a relaxed structure of SrInIr from the Alexandria database. Energies are from PBE.

Cell: 5.7126 5.7126 5.7126 Å, 116.68 116.10 96.37°
Fractional positions:
Sr1 0.3960 0.1460 0.2500
Sr2 0.6040 0.8540 0.7500
In1 0.0000 0.0000 0.5000
In2 0.0000 0.5000 0.0000
Ir1 0.0000 0.5000 0.5000
Ir2 0.5000 0.5000 0.0000

Properties
Final energy = -4.699 eV/atom
Space-group type = Imma
Total magnetization = 0.0 μB/cell
Formation energy = -272 meV per atom

Here is a relaxed structure of SrIn2Ir2 from the Alexandria database. Energies are from PBE.

Cell: 11.8164 11.8164 11.8164 Å, 158.10 158.10 31.16°
Fractional positions:
Sr1 0.1339 0.1339 0.0000
Sr2 0.8661 0.8661 0.0000
In1 0.0000 0.5000 0.5000
In2 0.3162 0.3162 0.0000
In3 0.5000 0.0000 0.5000
In4 0.6838 0.6838 0.0000
Ir1 0.2500 0.7500 0.5000
Ir2 0.4336 0.4336 0.0000
Ir3 0.5664 0.5664 0.0000
Ir4 0.7500 0.2500 0.5000

Properties
Final energy = -5.206 eV/atom
Space-group type = I4/mmm
Total magnetization = 0.0 μB/cell
Formation energy = -230 meV per atom